Here is a relaxed structure of Dy4CdBi from the Alexandria database. Energies are from GGA-PBE.

The calculation puts the calculated formation energy at -0.36 eV/atom. The total magnetization is 0.0000 μB/atom. The value obtained for the density of states at the Fermi level is 0.8672 states/eV/atom. The calculation puts the energy relative to the lowest polymorph listed for this composition at 0 meV per atom. The calculation puts the total energy at -4.227 eV/atom.

It has space group F-43m (No. 216), with a = 14.1795 Å, b = 14.1795 Å, c = 14.1795 Å, α = 90.00°, β = 90.00° and γ = 90.00°. Symmetry generates all atoms from Dy at (0.0000, 0.0000, 0.1836), Dy at (0.0605, 0.2500, 0.7500), Dy at (0.1238, 0.1238, 0.3762), Cd at (0.1611, 0.1611, 0.1611) and Bi at (0.0979, 0.0979, 0.5979).

---

Here is a relaxed structure of SmZn2Pd2 from the Alexandria database. Energies are from GGA-PBE.

The calculation puts the calculated formation energy at -0.62 eV/atom. The total magnetization is 0.0000 μB/atom. The value obtained for the density of states at the Fermi level is 0.4253 states/eV/atom. The calculation puts the energy relative to the lowest polymorph listed for this composition at 12 meV per atom. The calculation puts the total energy at -4.147 eV/atom.

It has space group I4/mmm (No. 139), with a = 3.9663 Å, b = 3.9663 Å, c = 12.0887 Å, α = 90.00°, β = 90.00° and γ = 90.00°. Symmetry generates all atoms from Sm at (0.0000, 0.0000, 0.0000), Zn at (0.0000, 0.5000, 0.2500) and Pd at (0.0000, 0.0000, 0.3885).

---

Here is a relaxed structure of Zr2Ti2Cd from the Alexandria database. Energies are from GGA-PBE.

The calculation puts the calculated formation energy at 0.05 eV/atom. The total magnetization is 0.0000 μB/atom. The value obtained for the density of states at the Fermi level is 0.7013 states/eV/atom. The calculation puts the energy relative to the lowest polymorph listed for this composition at 75 meV per atom. The calculation puts the total energy at -6.715 eV/atom.

It has space group P4/mbm (No. 127), with a = 7.3477 Å, b = 7.3477 Å, c = 3.8045 Å, α = 90.00°, β = 90.00° and γ = 90.00°. Symmetry generates all atoms from Zr at (0.1645, 0.3355, 0.0000), Ti at (0.1297, 0.6297, 0.5000) and Cd at (0.0000, 0.0000, 0.5000).

---

| no. | volume (Å³ per atom) |
| --- | --- |
| 1 | 29.70 |
| 2 | 19.02 |
| 3 | 20.54 |